Cr2TeSe2: relaxed, PBE-GGA.

Cell lengths 3.748, 5.047, 6.900 Å; angles 111.45, 105.76, 90.00 degrees
Last column: magnetic moment on the atom in μB.
Element x y z (fractional)
Te (0.000, 0.000, 0.000)  -0.14
Se (0.698, 0.698, 0.396)  -0.18
Cr (0.337, 0.837, 0.674)  3.08
Cr (0.663, 0.163, 0.326)  3.08
Se (0.302, 0.302, 0.604)  -0.18

- calculated volume (Å³ per cell) = 116.19
- energy relative to the elements, uncorrected (eV/atom) = -0.33

NdTm3Te: relaxed, PBE-GGA.

Cell lengths 7.789, 7.789, 7.360 Å; angles 104.38, 119.00, 107.89 degrees
Element x y z (fractional)
Tm (0.766, 0.444, 0.210)
Tm (0.234, 0.556, 0.790)
Te (0.379, 0.271, 0.650)
Nd (0.703, 0.065, 0.768)
Tm (0.790, 0.577, 0.738)
Nd (0.297, 0.935, 0.232)
Te (0.621, 0.729, 0.350)
Tm (0.160, 0.948, 0.738)
Tm (0.840, 0.052, 0.262)
Tm (0.210, 0.423, 0.262)

- calculated volume (Å³ per cell) = 326.61
- energy relative to the elements, uncorrected (eV/atom) = -0.30

CaMgTa2: relaxed, PBE-GGA.

Cell lengths 2.800, 5.146, 5.898 Å; angles 90.00, 90.00, 90.00 degrees
Element x y z (fractional)
Mg (0.500, 0.500, 0.750)
Ta (0.000, 0.000, 0.501)
Ta (0.000, 0.000, 0.999)
Ca (0.500, 0.500, 0.250)

- calculated volume (Å³ per cell) = 85.00
- formation enthalpy at 0 K (kJ per mole of atoms) = 64.0

TbEuCuHg: relaxed, PBE-GGA.

Cell lengths 5.228, 5.228, 5.228 Å; angles 60.00, 60.00, 60.00 degrees
Last column: magnetic moment on the atom in μB.
Element x y z (fractional)
Cu (0.250, 0.250, 0.250)  0.01
Tb (0.500, 0.500, 0.500)  0.06
Eu (0.000, 0.000, 0.000)  6.81
Hg (0.750, 0.750, 0.750)  0.02

- calculated volume (Å³ per cell) = 101.02
- formation enthalpy at 0 K (kJ per mole of atoms) = -26.5

Ga4Ni15Ge: relaxed, PBE-GGA.

Cell lengths 3.580, 3.580, 17.930 Å; angles 90.00, 90.00, 90.00 degrees
Last column: magnetic moment on the atom in μB.
Element x y z (fractional)
Ga (0.000, 0.000, 0.400)  0.02
Ni (0.500, 0.500, 0.801)  -0.26
Ni (0.000, 0.500, 0.500)  -0.30
Ni (0.500, 0.000, 0.901)  -0.20
Ga (0.000, 0.000, 0.200)  0.02
Ni (0.500, 0.500, 0.000)  -0.17
Ni (0.500, 0.000, 0.099)  -0.20
Ga (0.000, 0.000, 0.600)  0.02
Ni (0.000, 0.500, 0.700)  -0.29
Ni (0.000, 0.500, 0.300)  -0.29
Ni (0.500, 0.000, 0.300)  -0.29
Ni (0.500, 0.500, 0.600)  -0.30
Ni (0.500, 0.500, 0.199)  -0.26
Ga (0.000, 0.000, 0.800)  0.02
Ni (0.500, 0.500, 0.400)  -0.30
Ni (0.500, 0.000, 0.500)  -0.30
Ni (0.000, 0.500, 0.901)  -0.20
Ni (0.000, 0.500, 0.099)  -0.20
Ni (0.500, 0.000, 0.700)  -0.29
Ge (0.000, 0.000, 0.000)  0.01

- calculated volume (Å³ per cell) = 229.82
- formation enthalpy at 0 K (kJ per mole of atoms) = -27.6

MgZnAsSe2: relaxed, PBE-GGA.

Cell lengths 5.103, 5.103, 4.633 Å; angles 90.00, 90.00, 90.00 degrees
Element x y z (fractional)
Mg (0.500, 0.500, 0.500)
Se (0.500, 0.000, 0.000)
Zn (0.000, 0.000, 0.000)
As (0.000, 0.000, 0.500)
Se (0.000, 0.500, 0.000)

- calculated volume (Å³ per cell) = 120.65
- energy relative to the elements, uncorrected (eV/atom) = 0.26
- polymorph energy (0 for the lowest one) (meV per atom) = 0.0

ReAuSe: relaxed, PBE-GGA.

Cell lengths 3.042, 3.042, 7.017 Å; angles 90.00, 90.00, 120.00 degrees
Element x y z (fractional)
Re (0.667, 0.333, 0.360)
Au (0.000, 0.000, 0.036)
Se (0.333, 0.667, 0.604)

- calculated volume (Å³ per cell) = 56.25
- energy relative to the elements, uncorrected (eV/atom) = 0.25
- polymorph energy (0 for the lowest one) (meV per atom) = 0.0

Mn2VN: relaxed, PBE-GGA.

Cell lengths 2.749, 2.749, 7.076 Å; angles 78.80, 78.80, 60.00 degrees
Last column: magnetic moment on the atom in μB.
Element x y z (fractional)
V (0.000, 0.000, 0.000)  -0.46
Mn (0.888, 0.888, 0.337)  1.86
N (0.500, 0.500, 0.500)  -0.05
Mn (0.112, 0.112, 0.663)  1.86

- calculated volume (Å³ per cell) = 45.14
- energy relative to the elements, uncorrected (eV/atom) = 0.12